# YScZn, relaxed, DFT PBE-GGA
# **Relative energy among the computed polymorphs**: 1.180 eV/atom
data_YScZn
_cell_length_a 4.3730
_cell_length_b 4.3730
_cell_length_c 11.7169
_cell_angle_alpha 90.00
_cell_angle_beta 90.00
_cell_angle_gamma 120.00
_space_group_name_H-M_alt 'P 63/m m c'
_space_group_IT_number 194
_space_group_name_Hall '-P 6c 2c'
loop_
_atom_site_label
_atom_site_fract_x
_atom_site_fract_y
_atom_site_fract_z
Y1 0.0000 0.0000 0.0000
Sc1 0.0000 0.0000 0.2500
Zn1 0.3333 0.6667 0.2500

---

# YScZn3, relaxed, DFT PBE-GGA
# **Relative energy among the computed polymorphs**: 0.699 eV/atom
data_YScZn3
_cell_length_a 4.9670
_cell_length_b 4.9670
_cell_length_c 4.9670
_cell_angle_alpha 90.00
_cell_angle_beta 90.00
_cell_angle_gamma 90.00
_space_group_name_H-M_alt 'P m -3 m'
_space_group_IT_number 221
_space_group_name_Hall '-P 4 2 3'
loop_
_atom_site_label
_atom_site_fract_x
_atom_site_fract_y
_atom_site_fract_z
Y1 0.0000 0.0000 0.0000
Sc1 0.5000 0.5000 0.5000
Zn1 0.0000 0.5000 0.5000

---

# YScZn, relaxed, DFT PBE-GGA
# **Relative energy among the computed polymorphs**: 0.066 eV/atom
data_YScZn
_cell_length_a 4.8960
_cell_length_b 5.9762
_cell_length_c 6.1870
_cell_angle_alpha 61.15
_cell_angle_beta 66.71
_cell_angle_gamma 65.91
_space_group_name_H-M_alt 'P -1'
_space_group_IT_number 2
_space_group_name_Hall '-P 1'
loop_
_atom_site_label
_atom_site_fract_x
_atom_site_fract_y
_atom_site_fract_z
Y1 0.1734 0.2421 0.4112
Sc1 0.4460 0.3020 0.8053
Zn1 0.1361 0.7976 0.9314

---

# YScZn, relaxed, DFT PBE-GGA
# **Relative energy among the computed polymorphs**: 0.116 eV/atom
data_YScZn
_cell_length_a 11.7160
_cell_length_b 4.2963
_cell_length_c 5.7893
_cell_angle_alpha 90.00
_cell_angle_beta 94.11
_cell_angle_gamma 90.00
_space_group_name_H-M_alt 'C 1 m 1'
_space_group_IT_number 8
_space_group_name_Hall 'C -2y'
loop_
_atom_site_label
_atom_site_fract_x
_atom_site_fract_y
_atom_site_fract_z
Y1 0.0000 0.0000 0.0000
Y2 0.0815 0.5000 0.5319
Sc1 0.2212 0.5000 0.0623
Sc2 0.3050 0.0000 0.7002
Zn1 0.3518 0.0000 0.2211
Zn2 0.3867 0.5000 0.4759

---

Computed, not measured: an optimized crystal structure of Y5ScZn4 at the PBE-GGA level of DFT.

Geometry as CIF:
```
data_Y5ScZn4
_cell_length_a 3.5633
_cell_length_b 3.5633
_cell_length_c 19.0129
_cell_angle_alpha 90.00
_cell_angle_beta 90.00
_cell_angle_gamma 90.00
_space_group_name_H-M_alt 'P 4/m m m'
_space_group_IT_number 123
_space_group_name_Hall '-P 4 2'
loop_
_atom_site_label
_atom_site_fract_x
_atom_site_fract_y
_atom_site_fract_z
Y1 0.0000 0.0000 0.0000
Y2 0.0000 0.0000 0.1886
Y3 0.0000 0.0000 0.3775
Sc1 0.5000 0.5000 0.5000
Zn1 0.5000 0.5000 0.0950
Zn2 0.5000 0.5000 0.2837
```

---

Computed, not measured: an optimized crystal structure of Y2ScZn at the PBE-GGA level of DFT.

Geometry as CIF:
```
data_Y2ScZn
_cell_length_a 3.6031
_cell_length_b 5.1525
_cell_length_c 11.0812
_cell_angle_alpha 90.00
_cell_angle_beta 90.00
_cell_angle_gamma 90.00
_space_group_name_H-M_alt 'I m m 2'
_space_group_IT_number 44
_space_group_name_Hall 'I 2 -2'
loop_
_atom_site_label
_atom_site_fract_x
_atom_site_fract_y
_atom_site_fract_z
Y1 0.0000 0.0000 0.0000
Y2 0.0000 0.5000 0.2157
Sc1 0.0000 0.0000 0.4267
Zn1 0.0000 0.5000 0.7278
```

---

# YScZn, relaxed, DFT PBE-GGA
# **Relative energy among the computed polymorphs**: 0.060 eV/atom
data_YScZn
_cell_length_a 6.8630
_cell_length_b 3.4713
_cell_length_c 11.8758
_cell_angle_alpha 90.00
_cell_angle_beta 90.00
_cell_angle_gamma 90.00
_space_group_name_H-M_alt 'P n m a'
_space_group_IT_number 62
_space_group_name_Hall '-P 2ac 2n'
loop_
_atom_site_label
_atom_site_fract_x
_atom_site_fract_y
_atom_site_fract_z
Y1 0.1387 0.2500 0.0988
Sc1 0.1213 0.2500 0.3887
Zn1 0.1222 0.2500 0.7593

---

# YScZn, relaxed, DFT PBE-GGA
# **Relative energy among the computed polymorphs**: 0.380 eV/atom
data_YScZn
_cell_length_a 5.0632
_cell_length_b 5.0632
_cell_length_c 6.0196
_cell_angle_alpha 90.00
_cell_angle_beta 90.00
_cell_angle_gamma 120.00
_space_group_name_H-M_alt 'P 63/m m c'
_space_group_IT_number 194
_space_group_name_Hall '-P 6c 2c'
loop_
_atom_site_label
_atom_site_fract_x
_atom_site_fract_y
_atom_site_fract_z
Y1 0.3333 0.6667 0.2500
Sc1 0.3333 0.6667 0.7500
Zn1 0.0000 0.0000 0.0000

---

Computed, not measured: an optimized crystal structure of Y2ScZn at the PBE-GGA level of DFT.

Geometry as CIF:
```
data_Y2ScZn
_cell_length_a 4.8615
_cell_length_b 3.5453
_cell_length_c 12.0947
_cell_angle_alpha 90.00
_cell_angle_beta 90.00
_cell_angle_gamma 90.00
_space_group_name_H-M_alt 'A m m 2'
_space_group_IT_number 38
_space_group_name_Hall 'A 2 -2'
loop_
_atom_site_label
_atom_site_fract_x
_atom_site_fract_y
_atom_site_fract_z
Y1 0.0000 0.0000 0.0000
Y2 0.5000 0.0000 0.3276
Sc1 0.0000 0.0000 0.7240
Zn1 0.5000 0.0000 0.5983
```

---

Computed, not measured: an optimized crystal structure of Y3Sc2Zn2 at the PBE-GGA level of DFT.

Geometry as CIF:
```
data_Y3Sc2Zn2
_cell_length_a 3.5188
_cell_length_b 29.6048
_cell_length_c 3.4228
_cell_angle_alpha 90.00
_cell_angle_beta 90.00
_cell_angle_gamma 90.00
_space_group_name_H-M_alt 'C m m m'
_space_group_IT_number 65
_space_group_name_Hall '-C 2 2'
loop_
_atom_site_label
_atom_site_fract_x
_atom_site_fract_y
_atom_site_fract_z
Y1 0.0000 0.0000 0.0000
Y2 0.0000 0.1254 0.0000
Sc1 0.0000 0.2948 0.5000
Zn1 0.0000 0.4383 0.5000
```

---

# Y4ScZn, relaxed, DFT PBE-GGA
# **Relative energy among the computed polymorphs**: 0.000 eV/atom
data_Y4ScZn
_cell_length_a 3.5505
_cell_length_b 3.5505
_cell_length_c 13.3563
_cell_angle_alpha 90.00
_cell_angle_beta 90.00
_cell_angle_gamma 90.00
_space_group_name_H-M_alt 'P 4/m m m'
_space_group_IT_number 123
_space_group_name_Hall '-P 4 2'
loop_
_atom_site_label
_atom_site_fract_x
_atom_site_fract_y
_atom_site_fract_z
Y1 0.0000 0.0000 0.1335
Y2 0.5000 0.5000 0.3294
Sc1 0.0000 0.0000 0.5000
Zn1 0.5000 0.5000 0.0000

---

Computed, not measured: an optimized crystal structure of Y3ScZn4 at the PBE-GGA level of DFT.

Geometry as CIF:
```
data_Y3ScZn4
_cell_length_a 4.9870
_cell_length_b 4.9870
_cell_length_c 24.4758
_cell_angle_alpha 90.00
_cell_angle_beta 90.00
_cell_angle_gamma 120.00
_space_group_name_H-M_alt 'R -3 m'
_space_group_IT_number 166
_space_group_name_Hall '-R 3 2"'
loop_
_atom_site_label
_atom_site_fract_x
_atom_site_fract_y
_atom_site_fract_z
Y1 0.0000 0.0000 0.0000
Y2 0.0000 0.0000 0.2476
Sc1 0.0000 0.0000 0.5000
Zn1 0.0000 0.0000 0.1263
Zn2 0.0000 0.0000 0.3774
```

---

Computed, not measured: an optimized crystal structure of Y2ScZn at the PBE-GGA level of DFT.

Geometry as CIF:
```
data_Y2ScZn
_cell_length_a 3.5465
_cell_length_b 3.5465
_cell_length_c 29.8695
_cell_angle_alpha 90.00
_cell_angle_beta 90.00
_cell_angle_gamma 120.00
_space_group_name_H-M_alt 'R 3 m'
_space_group_IT_number 160
_space_group_name_Hall 'R 3 -2"'
loop_
_atom_site_label
_atom_site_fract_x
_atom_site_fract_y
_atom_site_fract_z
Y1 0.0000 0.0000 0.0000
Y2 0.0000 0.0000 0.1822
Sc1 0.0000 0.0000 0.7577
Zn1 0.0000 0.0000 0.5915
```

---

Computed, not measured: an optimized crystal structure of Y2ScZn at the PBE-GGA level of DFT.

Geometry as CIF:
```
data_Y2ScZn
_cell_length_a 7.3892
_cell_length_b 7.3892
_cell_length_c 7.3892
_cell_angle_alpha 90.00
_cell_angle_beta 90.00
_cell_angle_gamma 90.00
_space_group_name_H-M_alt 'F -4 3 m'
_space_group_IT_number 216
_space_group_name_Hall 'F -4 2 3'
loop_
_atom_site_label
_atom_site_fract_x
_atom_site_fract_y
_atom_site_fract_z
Y1 0.0000 0.0000 0.0000
Y2 0.2500 0.2500 0.2500
Sc1 0.2500 0.2500 0.7500
Zn1 0.0000 0.0000 0.5000
```

---

# YScZn, relaxed, DFT PBE-GGA
# **Relative energy among the computed polymorphs**: 0.886 eV/atom
data_YScZn
_cell_length_a 6.8616
_cell_length_b 6.8616
_cell_length_c 6.8616
_cell_angle_alpha 90.00
_cell_angle_beta 90.00
_cell_angle_gamma 90.00
_space_group_name_H-M_alt 'F -4 3 m'
_space_group_IT_number 216
_space_group_name_Hall 'F -4 2 3'
loop_
_atom_site_label
_atom_site_fract_x
_atom_site_fract_y
_atom_site_fract_z
Y1 0.0000 0.0000 0.0000
Sc1 0.2500 0.2500 0.2500
Zn1 0.2500 0.2500 0.7500

---

Computed, not measured: an optimized crystal structure of YSc2Zn9 at the PBE-GGA level of DFT.

Geometry as CIF:
```
data_YSc2Zn9
_cell_length_a 5.3120
_cell_length_b 5.3120
_cell_length_c 25.1902
_cell_angle_alpha 90.00
_cell_angle_beta 90.00
_cell_angle_gamma 120.00
_space_group_name_H-M_alt 'R -3 m'
_space_group_IT_number 166
_space_group_name_Hall '-R 3 2"'
loop_
_atom_site_label
_atom_site_fract_x
_atom_site_fract_y
_atom_site_fract_z
Y1 0.0000 0.0000 0.0000
Sc1 0.0000 0.0000 0.1423
Zn1 0.0000 0.0000 0.3349
Zn2 0.0000 0.0000 0.5000
Zn3 0.0075 0.5038 0.9149
```

---

# YScZn, relaxed, DFT PBE-GGA
# **Relative energy among the computed polymorphs**: 0.107 eV/atom
data_YScZn
_cell_length_a 5.1051
_cell_length_b 3.5407
_cell_length_c 8.0272
_cell_angle_alpha 90.00
_cell_angle_beta 104.56
_cell_angle_gamma 90.00
_space_group_name_H-M_alt 'P 1 m 1'
_space_group_IT_number 6
_space_group_name_Hall 'P -2y'
loop_
_atom_site_label
_atom_site_fract_x
_atom_site_fract_y
_atom_site_fract_z
Y1 0.0000 0.0000 0.0000
Y2 0.3660 0.0000 0.6740
Sc1 0.6167 0.0000 0.2937
Sc2 0.8468 0.5000 0.6214
Zn1 0.1417 0.5000 0.3409
Zn2 0.4909 0.5000 0.9868

---

Computed, not measured: an optimized crystal structure of Y2ScZn at the PBE-GGA level of DFT.

Geometry as CIF:
```
data_Y2ScZn
_cell_length_a 3.5046
_cell_length_b 4.3996
_cell_length_c 6.6028
_cell_angle_alpha 90.00
_cell_angle_beta 90.00
_cell_angle_gamma 90.00
_space_group_name_H-M_alt 'P m m 2'
_space_group_IT_number 25
_space_group_name_Hall 'P 2 -2'
loop_
_atom_site_label
_atom_site_fract_x
_atom_site_fract_y
_atom_site_fract_z
Y1 0.0000 0.0000 0.0000
Y2 0.5000 0.5000 0.2986
Sc1 0.5000 0.5000 0.7613
Zn1 0.0000 0.0000 0.5315
```

---

# Y4ScZn, relaxed, DFT PBE-GGA
# **Relative energy among the computed polymorphs**: 0.094 eV/atom
data_Y4ScZn
_cell_length_a 8.7245
_cell_length_b 13.8337
_cell_length_c 5.9876
_cell_angle_alpha 90.00
_cell_angle_beta 107.68
_cell_angle_gamma 90.00
_space_group_name_H-M_alt 'C 1 2/c 1'
_space_group_IT_number 15
_space_group_name_Hall '-C 2yc'
loop_
_atom_site_label
_atom_site_fract_x
_atom_site_fract_y
_atom_site_fract_z
Y1 0.1050 0.1862 0.0605
Y2 0.2112 0.4096 0.3496
Sc1 0.0000 0.3869 0.7500
Zn1 0.0000 0.0028 0.2500

---

Computed, not measured: an optimized crystal structure of Y2ScZn at the PBE-GGA level of DFT.

Geometry as CIF:
```
data_Y2ScZn
_cell_length_a 3.4889
_cell_length_b 3.4889
_cell_length_c 8.4661
_cell_angle_alpha 90.00
_cell_angle_beta 90.00
_cell_angle_gamma 90.00
_space_group_name_H-M_alt 'P 4 m m'
_space_group_IT_number 99
_space_group_name_Hall 'P 4 -2'
loop_
_atom_site_label
_atom_site_fract_x
_atom_site_fract_y
_atom_site_fract_z
Y1 0.0000 0.0000 0.0000
Y2 0.5000 0.5000 0.3136
Sc1 0.5000 0.5000 0.7152
Zn1 0.0000 0.0000 0.5405
```

---

Computed, not measured: an optimized crystal structure of Y2ScZn at the PBE-GGA level of DFT.

Geometry as CIF:
```
data_Y2ScZn
_cell_length_a 4.5632
_cell_length_b 4.5632
_cell_length_c 9.6741
_cell_angle_alpha 90.00
_cell_angle_beta 90.00
_cell_angle_gamma 90.00
_space_group_name_H-M_alt 'I -4 m 2'
_space_group_IT_number 119
_space_group_name_Hall 'I -4 -2'
loop_
_atom_site_label
_atom_site_fract_x
_atom_site_fract_y
_atom_site_fract_z
Y1 0.0000 0.0000 0.0000
Y2 0.0000 0.5000 0.2500
Sc1 0.0000 0.0000 0.5000
Zn1 0.0000 0.5000 0.7500
```

---

# YScZn3, relaxed, DFT PBE-GGA
# **Relative energy among the computed polymorphs**: 0.000 eV/atom
data_YScZn3
_cell_length_a 17.1377
_cell_length_b 4.3686
_cell_length_c 5.4666
_cell_angle_alpha 90.00
_cell_angle_beta 102.80
_cell_angle_gamma 90.00
_space_group_name_H-M_alt 'C 1 2/m 1'
_space_group_IT_number 12
_space_group_name_Hall '-C 2y'
loop_
_atom_site_label
_atom_site_fract_x
_atom_site_fract_y
_atom_site_fract_z
Y1 0.0721 0.0000 0.3032
Sc1 0.2231 0.5000 0.6761
Zn1 0.0543 0.5000 0.7552
Zn2 0.1474 0.0000 0.8544
Zn3 0.1761 0.5000 0.1484

---

Computed, not measured: an optimized crystal structure of Y2ScZn at the PBE-GGA level of DFT.

Geometry as CIF:
```
data_Y2ScZn
_cell_length_a 4.7592
_cell_length_b 4.7592
_cell_length_c 8.8933
_cell_angle_alpha 90.00
_cell_angle_beta 90.00
_cell_angle_gamma 90.00
_space_group_name_H-M_alt 'I 4/m m m'
_space_group_IT_number 139
_space_group_name_Hall '-I 4 2'
loop_
_atom_site_label
_atom_site_fract_x
_atom_site_fract_y
_atom_site_fract_z
Y1 0.0000 0.5000 0.2500
Sc1 0.0000 0.0000 0.0000
Zn1 0.0000 0.0000 0.5000
```

---

# YScZn, relaxed, DFT PBE-GGA
# **Relative energy among the computed polymorphs**: 0.282 eV/atom
data_YScZn
_cell_length_a 4.7863
_cell_length_b 4.7863
_cell_length_c 23.7900
_cell_angle_alpha 90.00
_cell_angle_beta 90.00
_cell_angle_gamma 120.00
_space_group_name_H-M_alt 'R -3 m'
_space_group_IT_number 166
_space_group_name_Hall '-R 3 2"'
loop_
_atom_site_label
_atom_site_fract_x
_atom_site_fract_y
_atom_site_fract_z
Y1 0.0000 0.0000 0.1195
Sc1 0.0000 0.0000 0.3687
Zn1 0.0000 0.0000 0.2533

---

Computed, not measured: an optimized crystal structure of Y2ScZn at the PBE-GGA level of DFT.

Geometry as CIF:
```
data_Y2ScZn
_cell_length_a 7.0317
_cell_length_b 7.8340
_cell_length_c 3.7105
_cell_angle_alpha 90.00
_cell_angle_beta 90.00
_cell_angle_gamma 90.00
_space_group_name_H-M_alt 'C m m m'
_space_group_IT_number 65
_space_group_name_Hall '-C 2 2'
loop_
_atom_site_label
_atom_site_fract_x
_atom_site_fract_y
_atom_site_fract_z
Y1 0.2500 0.2500 0.0000
Sc1 0.0000 0.0000 0.5000
Zn1 0.0000 0.5000 0.5000
```

---

# YScZn, relaxed, DFT PBE-GGA
# **Relative energy among the computed polymorphs**: 0.143 eV/atom
data_YScZn
_cell_length_a 5.1850
_cell_length_b 3.5155
_cell_length_c 7.9369
_cell_angle_alpha 90.00
_cell_angle_beta 102.41
_cell_angle_gamma 90.00
_space_group_name_H-M_alt 'P 1 m 1'
_space_group_IT_number 6
_space_group_name_Hall 'P -2y'
loop_
_atom_site_label
_atom_site_fract_x
_atom_site_fract_y
_atom_site_fract_z
Y1 0.0000 0.0000 0.0000
Y2 0.1184 0.5000 0.3889
Sc1 0.4050 0.0000 0.7205
Sc2 0.5943 0.0000 0.3205
Zn1 0.5181 0.5000 0.0353
Zn2 0.8308 0.5000 0.6687

---

# YScZn, relaxed, DFT PBE-GGA
# **Relative energy among the computed polymorphs**: 0.049 eV/atom
data_YScZn
_cell_length_a 15.8317
_cell_length_b 3.5194
_cell_length_c 5.0310
_cell_angle_alpha 90.00
_cell_angle_beta 90.02
_cell_angle_gamma 90.00
_space_group_name_H-M_alt 'C 1 m 1'
_space_group_IT_number 8
_space_group_name_Hall 'C -2y'
loop_
_atom_site_label
_atom_site_fract_x
_atom_site_fract_y
_atom_site_fract_z
Y1 0.0000 0.0000 0.0000
Y2 0.1973 0.5000 0.0000
Sc1 0.1419 0.0000 0.4999
Sc2 0.3390 0.5000 0.5005
Zn1 0.3480 0.0000 0.0012
Zn2 0.4933 0.0000 0.5002

---

Listing energy of formation for the structures above in their given order: 0.92 0.39 -0.19 -0.14 -0.27 -0.17 -0.19 0.13 -0.08 -0.09 -0.09 -0.35 -0.04 0.09 0.63 -0.32 -0.15 -0.01 0.00 -0.16 0.00 -0.31 -0.02 0.03 -0.05 -0.11 -0.21 eV per atom.